[1]
# In5HgI5, relaxed, DFT PBE
# ρ = 5.1 g cm⁻³
# magnetic moment = 0.0 Bohr magnetons per cell
# raw total energy = -0.173 Ry per atom
data_In5HgI5
_chemical_formula_sum 'In10 Hg2 I10'
_symmetry_space_group_name_H-M 'C 1 2/m 1'
_symmetry_Int_Tables_number 12
_cell_length_a 15.233
_cell_length_b 6.832
_cell_length_c 9.365
_cell_angle_alpha 90.00
_cell_angle_beta 108.26
_cell_angle_gamma 90.00
loop_
_symmetry_equiv_pos_as_xyz
'x,y,z'
'-x,-y,-z'
'-x,y,-z'
'x,-y,z'
'x+1/2,y+1/2,z'
'-x+1/2,-y+1/2,-z'
'-x+1/2,y+1/2,-z'
'x+1/2,-y+1/2,z'
loop_
_atom_site_label
_atom_site_type_symbol
_atom_site_fract_x
_atom_site_fract_y
_atom_site_fract_z
In1 In 0.000 0.000 0.000
In2 In 0.159 0.500 0.836
In3 In 0.161 0.500 0.332
Hg1 Hg 0.000 0.500 0.000
I1 I 0.000 0.500 0.500
I2 I 0.161 0.000 0.828
I3 I 0.178 0.000 0.333

=====

[2]
# InHg2I, relaxed, DFT PBE
# ρ = 7.6 g cm⁻³
# magnetic moment = 0.0 Bohr magnetons per cell
# raw total energy = -0.106 Ry per atom
data_InHg2I
_chemical_formula_sum 'In4 Hg8 I4'
_symmetry_space_group_name_H-M 'C 1 2/m 1'
_symmetry_Int_Tables_number 12
_cell_length_a 12.614
_cell_length_b 4.855
_cell_length_c 10.494
_cell_angle_alpha 90.00
_cell_angle_beta 119.08
_cell_angle_gamma 90.00
loop_
_symmetry_equiv_pos_as_xyz
'x,y,z'
'-x,-y,-z'
'-x,y,-z'
'x,-y,z'
'x+1/2,y+1/2,z'
'-x+1/2,-y+1/2,-z'
'-x+1/2,y+1/2,-z'
'x+1/2,-y+1/2,z'
loop_
_atom_site_label
_atom_site_type_symbol
_atom_site_fract_x
_atom_site_fract_y
_atom_site_fract_z
In1 In 0.062 0.000 0.336
Hg1 Hg 0.000 0.000 0.000
Hg2 Hg 0.000 0.500 0.500
Hg3 Hg 0.152 0.500 0.897
I1 I 0.226 0.500 0.312

=====

[3]
# InHgI2, relaxed, DFT PBE
# ρ = 6.4 g cm⁻³
# magnetic moment = 0.0 Bohr magnetons per cell
# raw total energy = -0.133 Ry per atom
data_InHgI2
_chemical_formula_sum 'In2 Hg2 I4'
_symmetry_space_group_name_H-M 'C 1 m 1'
_symmetry_Int_Tables_number 8
_cell_length_a 14.828
_cell_length_b 4.581
_cell_length_c 4.600
_cell_angle_alpha 90.00
_cell_angle_beta 108.04
_cell_angle_gamma 90.00
loop_
_symmetry_equiv_pos_as_xyz
'x,y,z'
'x,-y,z'
'x+1/2,y+1/2,z'
'x+1/2,-y+1/2,z'
loop_
_atom_site_label
_atom_site_type_symbol
_atom_site_fract_x
_atom_site_fract_y
_atom_site_fract_z
In1 In 0.000 0.000 0.000
Hg1 Hg 0.291 0.500 0.788
I1 I 0.015 0.500 0.513
I2 I 0.221 0.000 0.219

=====

[4]
# In3Hg12I5, relaxed, DFT PBE
# ρ = 7.0 g cm⁻³
# magnetic moment = 0.0 Bohr magnetons per cell
# raw total energy = -0.074 Ry per atom
data_In3Hg12I5
_chemical_formula_sum 'In24 Hg96 I40'
_symmetry_space_group_name_H-M 'I a -3 d'
_symmetry_Int_Tables_number 230
_symmetry_space_group_name_Hall '-I 4bd 2c 3'
_cell_length_a 18.568
_cell_length_b 18.568
_cell_length_c 18.568
_cell_angle_alpha 90.00
_cell_angle_beta 90.00
_cell_angle_gamma 90.00
loop_
_atom_site_label
_atom_site_type_symbol
_atom_site_fract_x
_atom_site_fract_y
_atom_site_fract_z
In1 In 0.000 0.250 0.125
Hg1 Hg 0.012 0.089 0.653
I1 I 0.000 0.000 0.000
I2 I 0.000 0.250 0.375

=====

[5]
# InHgI4, relaxed, DFT PBE
# ρ = 5.4 g cm⁻³
# magnetic moment = 0.0 Bohr magnetons per cell
# raw total energy = -0.135 Ry per atom
data_InHgI4
_chemical_formula_sum 'In2 Hg2 I8'
_symmetry_space_group_name_H-M 'P 1 21/c 1'
_symmetry_Int_Tables_number 14
_cell_length_a 8.104
_cell_length_b 4.294
_cell_length_c 16.163
_cell_angle_alpha 90.00
_cell_angle_beta 116.48
_cell_angle_gamma 90.00
loop_
_symmetry_equiv_pos_as_xyz
'x,y,z'
'-x,-y,-z'
'-x,y+1/2,-z+1/2'
'x,-y+1/2,z+1/2'
loop_
_atom_site_label
_atom_site_type_symbol
_atom_site_fract_x
_atom_site_fract_y
_atom_site_fract_z
In1 In 0.000 0.000 0.000
Hg1 Hg 0.500 0.000 0.500
I1 I 0.036 0.000 0.369
I2 I 0.459 0.103 0.122

=====

[6]
# InHgI2, relaxed, DFT PBE
# ρ = 7.0 g cm⁻³
# magnetic moment = 0.0 Bohr magnetons per cell
# raw total energy = -0.126 Ry per atom
data_InHgI2
_chemical_formula_sum 'In4 Hg4 I8'
_symmetry_space_group_name_H-M 'F m -3 m'
_symmetry_Int_Tables_number 225
_symmetry_space_group_name_Hall '-F 4 2 3'
_cell_length_a 8.163
_cell_length_b 8.163
_cell_length_c 8.163
_cell_angle_alpha 90.00
_cell_angle_beta 90.00
_cell_angle_gamma 90.00
loop_
_atom_site_label
_atom_site_type_symbol
_atom_site_fract_x
_atom_site_fract_y
_atom_site_fract_z
In1 In 0.000 0.000 0.000
Hg1 Hg 0.000 0.000 0.500
I1 I 0.250 0.250 0.250

=====

[7]
# In3Hg3I, relaxed, DFT PBE
# ρ = 6.4 g cm⁻³
# magnetic moment = 0.0 Bohr magnetons per cell
# raw total energy = -0.101 Ry per atom
data_In3Hg3I
_chemical_formula_sum 'In6 Hg6 I2'
_symmetry_space_group_name_H-M 'P m -3 n'
_symmetry_Int_Tables_number 223
_symmetry_space_group_name_Hall '-P 4n 2 3'
_cell_length_a 8.221
_cell_length_b 8.221
_cell_length_c 8.221
_cell_angle_alpha 90.00
_cell_angle_beta 90.00
_cell_angle_gamma 90.00
loop_
_atom_site_label
_atom_site_type_symbol
_atom_site_fract_x
_atom_site_fract_y
_atom_site_fract_z
In1 In 0.000 0.250 0.500
Hg1 Hg 0.000 0.500 0.250
I1 I 0.000 0.000 0.000

=====

[8]
# InHgI2, relaxed, DFT PBE
# ρ = 5.1 g cm⁻³
# magnetic moment = 0.0 Bohr magnetons per cell
# raw total energy = -0.139 Ry per atom
data_InHgI2
_chemical_formula_sum 'In2 Hg2 I4'
_symmetry_space_group_name_H-M 'P 1'
_symmetry_Int_Tables_number 1
_cell_length_a 7.437
_cell_length_b 7.652
_cell_length_c 7.767
_cell_angle_alpha 61.03
_cell_angle_beta 72.55
_cell_angle_gamma 81.15
loop_
_symmetry_equiv_pos_as_xyz
'x,y,z'
loop_
_atom_site_label
_atom_site_type_symbol
_atom_site_fract_x
_atom_site_fract_y
_atom_site_fract_z
In1 In 0.000 0.000 0.000
In2 In 0.437 0.361 0.187
Hg1 Hg 0.624 0.636 0.713
Hg2 Hg 0.630 0.355 0.505
I1 I 0.068 0.352 0.986
I2 I 0.108 0.673 0.322
I3 I 0.167 0.992 0.635
I4 I 0.614 0.961 0.082

=====

[9]
# InHgI5, relaxed, DFT PBE
# ρ = 4.6 g cm⁻³
# magnetic moment = 0.0 Bohr magnetons per cell
# raw total energy = -0.138 Ry per atom
data_InHgI5
_chemical_formula_sum 'In4 Hg4 I20'
_symmetry_space_group_name_H-M 'C 1 2/c 1'
_symmetry_Int_Tables_number 15
_cell_length_a 11.506
_cell_length_b 12.454
_cell_length_c 10.845
_cell_angle_alpha 90.00
_cell_angle_beta 117.47
_cell_angle_gamma 90.00
loop_
_symmetry_equiv_pos_as_xyz
'x,y,z'
'-x,-y,-z'
'-x,y,-z+1/2'
'x,-y,z+1/2'
'x+1/2,y+1/2,z'
'-x+1/2,-y+1/2,-z'
'-x+1/2,y+1/2,-z+1/2'
'x+1/2,-y+1/2,z+1/2'
loop_
_atom_site_label
_atom_site_type_symbol
_atom_site_fract_x
_atom_site_fract_y
_atom_site_fract_z
In1 In 0.000 0.120 0.250
Hg1 Hg 0.000 0.500 0.000
I1 I 0.000 0.414 0.750
I2 I 0.015 0.238 0.471
I3 I 0.199 0.035 0.842

=====

[10]
# InHgI2, relaxed, DFT PBE
# ρ = 6.9 g cm⁻³
# magnetic moment = 0.0 Bohr magnetons per cell
# raw total energy = -0.126 Ry per atom
data_InHgI2
_chemical_formula_sum 'In1 Hg1 I2'
_symmetry_space_group_name_H-M 'P 4/m m m'
_symmetry_Int_Tables_number 123
_symmetry_space_group_name_Hall '-P 4 2'
_cell_length_a 4.091
_cell_length_b 4.091
_cell_length_c 8.137
_cell_angle_alpha 90.00
_cell_angle_beta 90.00
_cell_angle_gamma 90.00
loop_
_atom_site_label
_atom_site_type_symbol
_atom_site_fract_x
_atom_site_fract_y
_atom_site_fract_z
In1 In 0.000 0.000 0.000
Hg1 Hg 0.000 0.000 0.500
I1 I 0.500 0.500 0.245